(1)
# Nb2InSnMo (GGA-PBE, relaxed)
# * SG: No. 123
# * total moment: 0.0 μB/f.u.
# * E_tot: -28.97 eV/cell
# * energy of formation from the pure elements: 1.75 eV/atom
data_Nb2InSnMo
_chemical_formula_sum 'Nb2 In1 Sn1 Mo1'
_space_group_name_H-M_alt 'P 1'
_space_group_IT_number 1
_space_group_name_Hall 'P 1'
_cell_length_a 5.015
_cell_length_b 4.903
_cell_length_c 5.015
_cell_angle_alpha 90.00
_cell_angle_beta 90.00
_cell_angle_gamma 90.00
loop_
_atom_site_label
_atom_site_fract_x
_atom_site_fract_y
_atom_site_fract_z
Nb1 0.000 0.000 0.500
In1 0.000 0.000 0.000
Nb2 0.500 0.000 0.000
Sn1 0.500 0.500 0.500
Mo1 0.000 0.500 0.000



(2)
# TaNbInMo2 (GGA-PBE, relaxed)
# * SG: No. 123
# * total moment: 0.0 μB/f.u.
# * E_tot: -38.48 eV/cell
# * energy of formation from the pure elements: 1.57 eV/atom
data_TaNbInMo2
_chemical_formula_sum 'Ta1 Nb1 In1 Mo2'
_space_group_name_H-M_alt 'P 1'
_space_group_IT_number 1
_space_group_name_Hall 'P 1'
_cell_length_a 4.769
_cell_length_b 4.916
_cell_length_c 4.769
_cell_angle_alpha 90.00
_cell_angle_beta 90.00
_cell_angle_gamma 90.00
loop_
_atom_site_label
_atom_site_fract_x
_atom_site_fract_y
_atom_site_fract_z
In1 0.500 0.500 0.500
Ta1 0.000 0.500 0.000
Mo1 0.500 0.000 0.000
Nb1 0.000 0.000 0.000
Mo2 0.000 0.000 0.500